[1]
Compound: MnCrIrS
Source: Alexandria
Functional: GGA-PBE
Structure: relaxed

```
MnCrIrS
1.0
-2.301 0.488 1.400
0.795 -1.777 1.925
6.391 10.333 6.897
Mn S Ir Cr
2 2 2 2
Direct
0.500 0.500 0.943
0.000 0.000 0.443
0.500 0.500 0.360
0.000 0.000 0.860
0.000 0.000 0.688
0.500 0.500 0.188
0.000 0.000 0.072
0.500 0.500 0.572
```

## Properties
- uncorrected formation energy (eV per formula unit) = -0.3
- energy (eV/atom) = -8.0169
- energy above the lowest structure with this stoichiometry (kJ/mol of formula units) = 37.7
- calculated volume (Å³/cell) = 104.71

[2]
Compound: Li5InCl8
Source: Alexandria
Functional: GGA-PBE
Structure: relaxed

```
Li5InCl8
1.0
-2.958 -6.218 2.833
7.375 0.923 -0.441
-2.191 5.332 4.713
Cl Li In
8 5 1
Direct
0.064 0.850 0.686
0.622 0.936 0.786
0.150 0.836 0.214
0.149 0.454 0.823
0.674 0.851 0.305
0.631 0.326 0.177
0.164 0.378 0.314
0.546 0.369 0.695
0.447 0.910 0.072
0.838 0.375 0.928
0.090 0.162 0.538
0.625 0.553 0.462
0.500 0.500 0.000
0.250 0.750 0.500
```

## Properties
- uncorrected formation energy (eV per formula unit) = -21.8
- energy (eV/atom) = -3.4931
- energy above the lowest structure with this stoichiometry (kJ/mol of formula units) = 13.4
- calculated volume (Å³/cell) = 307.44

[3]
Compound: HgRu2
Source: Alexandria
Functional: GGA-PBE
Structure: relaxed

```
HgRu2
1.0
-4.574 2.524 3.620
-3.571 5.202 0.796
2.679 -4.634 -3.434
Ru Hg
2 1
Direct
0.317 0.316 0.001
0.683 0.684 0.999
0.000 0.000 0.000
```

## Properties
- energy (eV/atom) = -5.9729
- energy above the lowest structure with this stoichiometry (kJ/mol of formula units) = 0.0
- energy relative to the elements (eV/atom) = 0.31
- calculated volume (Å³/cell) = 48.73

[4]
Compound: ScReP2
Source: Alexandria
Functional: GGA-PBE
Structure: relaxed

```
ScReP2
1.0
-0.565 -2.720 -1.887
4.734 -0.675 -0.445
-0.015 -2.142 3.093
Sc P Re
1 2 1
Direct
0.000 0.500 0.500
0.500 0.500 0.000
0.000 0.000 0.000
0.500 0.000 0.500
```

## Properties
- energy (eV/atom) = -7.6029
- energy above the lowest structure with this stoichiometry (kJ/mol of formula units) = 203.9
- energy relative to the elements (eV/atom) = -0.20
- calculated volume (Å³/cell) = 60.67

[5]
Compound: Rb3YF
Source: Alexandria
Functional: GGA-PBE
Structure: relaxed

```
Rb3YF
1.0
7.672 0.000 0.000
0.000 7.672 0.000
0.000 0.000 7.672
Rb Y F
3 1 1
Direct
0.000 0.500 0.000
0.000 0.000 0.500
0.500 0.000 0.000
0.000 0.000 0.000
0.500 0.500 0.500
```

## Properties
- uncorrected formation energy (eV per formula unit) = 1.4
- energy (eV/atom) = -1.9589
- energy above the lowest structure with this stoichiometry (kJ/mol of formula units) = 376.9
- calculated volume (Å³/cell) = 451.65

[6]
Compound: Ba3Li4Sb4
Source: Alexandria
Functional: GGA-PBE
Structure: relaxed

```
Ba3Li4Sb4
1.0
-2.777 4.080 0.995
-0.126 -1.905 7.457
8.375 3.320 -2.982
Ba Li Sb
3 4 4
Direct
0.368 0.368 0.735
0.632 0.632 0.265
0.500 0.000 0.000
0.174 0.366 0.348
0.826 0.018 0.652
0.174 0.982 0.348
0.826 0.634 0.652
0.000 0.688 0.000
0.286 0.786 0.573
0.714 0.214 0.427
0.000 0.312 0.000
```

## Properties
- uncorrected formation energy (eV per formula unit) = -9.7
- energy (eV/atom) = -3.6032
- calculated volume (Å³/cell) = 321.70

[7]
Compound: La8P3Br3O
Source: Alexandria
Functional: GGA-PBE
Structure: relaxed

```
La8P3Br3O
1.0
-0.800 2.067 8.015
4.506 -6.629 -2.154
3.217 7.922 -1.724
La Br P O
8 3 3 1
Direct
0.242 0.020 0.298
0.758 0.980 0.702
0.778 0.020 0.298
0.737 0.475 0.713
0.778 0.556 0.298
0.263 0.525 0.287
0.222 0.444 0.702
0.222 0.980 0.702
0.500 0.500 0.000
0.000 0.500 0.000
0.000 0.000 0.000
0.500 0.500 0.500
0.500 0.000 0.500
0.000 0.500 0.500
0.000 0.000 0.500
```

## Properties
- uncorrected formation energy (eV per formula unit) = -23.4
- energy (eV/atom) = -5.9347
- calculated volume (Å³/cell) = 435.92

Question: Which of these has the lowest calculated volume?
Answer: HgRu2

Question: Which of these has the lowest calculated volume?
Answer: HgRu2

Question: Which of these has the highest energy?
Answer: Rb3YF